# 1
First-principles (GGA-PBE) data for an optimized crystal structure of Y2ErCo2B2N3, as listed in OQMD.

Properties
magnetization	0.03	μB/f.u.
total DFT energy (no corrections)	-8.229	eV per atom

Unit cell a=3.457 b=3.457 c=19.822 alpha=90.00 beta=90.00 gamma=90.00
Space group I4/mmm (No. 139)
Symmetry-distinct sites (fractional):
Y (0.000, 0.000, 0.123)
Er (0.000, 0.000, 0.500)
Co (0.000, 0.500, 0.250)
B (0.000, 0.000, 0.307)
N (0.000, 0.000, 0.000)
N (0.000, 0.000, 0.383)



# 2
First-principles (GGA-PBE) data for an optimized crystal structure of YEr2Co2B2N3, as listed in OQMD.

Properties
magnetization	0.03	μB/f.u.
total DFT energy (no corrections)	-8.050	eV per atom

Unit cell a=3.442 b=3.442 c=19.866 alpha=90.00 beta=90.00 gamma=90.00
Space group I4/mmm (No. 139)
Symmetry-distinct sites (fractional):
Y (0.000, 0.000, 0.000)
Er (0.000, 0.000, 0.376)
Co (0.000, 0.500, 0.250)
B (0.000, 0.000, 0.193)
N (0.000, 0.000, 0.118)
N (0.000, 0.000, 0.500)



Number 1 is which compound? Y2ErCo2B2N3